Here is BeInTe after structural relaxation from the Alexandria database. Energies are from PBE.

abc: 4.7004 4.7004 4.7004
angles: 60.00 60.00 60.00
Fractional positions:
Te (0.5000, 0.5000, 0.5000)
Be (0.2500, 0.2500, 0.2500)
In (0.0000, 0.0000, 0.0000)

Properties
The total magnetization is 0.00 μB per formula unit. As for the total energy: -8.45 eV per formula unit. As for the energy above the most stable polymorph in this dataset: 372 meV per atom. As for the density: 5.69 Mg/m³.